[1]
Here is crystalline K4Rb2F at its relaxed geometry from Alexandria. Energies are from GGA-PBE.

Results
Total DFT energy (no corrections)   -1.8508 eV per atom
Formation energy without anion corrections   -0.6798 eV/atom
Magnetization   0.00 μB per formula unit
Symmetry   No. 139
Mass density   1.2 g/cm3

```
K4Rb2F
1.0
5.2406 0.0000 0.0000
0.0000 5.2406 0.0000
0.0000 0.0000 34.4063
K Rb F
8 4 2
Direct
0.0000 0.0000 0.2126
0.0000 0.0000 0.7874
0.0000 0.5000 0.0000
0.0000 0.5000 0.5000
0.5000 0.0000 0.0000
0.5000 0.0000 0.5000
0.5000 0.5000 0.2874
0.5000 0.5000 0.7126
0.0000 0.0000 0.3756
0.0000 0.0000 0.6244
0.5000 0.5000 0.1244
0.5000 0.5000 0.8756
0.0000 0.0000 0.0000
0.5000 0.5000 0.5000
```

[2]
Here is crystalline KRb4F2 at its relaxed geometry from Alexandria. Energies are from GGA-PBE.

Results
Total DFT energy (no corrections)   -2.2495 eV per atom
Formation energy without anion corrections   -1.0052 eV/atom
Magnetization   0.00 μB per formula unit
Symmetry   No. 139
Mass density   1.6 g/cm3

```
KRb4F2
1.0
7.1074 0.0000 0.0000
0.0000 7.1074 0.0000
0.0000 0.0000 17.5635
K Rb F
2 8 4
Direct
0.0000 0.0000 0.0000
0.5000 0.5000 0.5000
0.0000 0.0000 0.2725
0.0000 0.0000 0.7275
0.0000 0.5000 0.0000
0.0000 0.5000 0.5000
0.5000 0.0000 0.0000
0.5000 0.0000 0.5000
0.5000 0.5000 0.2275
0.5000 0.5000 0.7725
0.0000 0.0000 0.4106
0.0000 0.0000 0.5894
0.5000 0.5000 0.0894
0.5000 0.5000 0.9106
```

[3]
Here is crystalline KRb4F5 at its relaxed geometry from Alexandria. Energies are from GGA-PBE.

Results
Total DFT energy (no corrections)   -4.1082 eV per atom
Formation energy without anion corrections   -2.6758 eV/atom
Magnetization   0.41 μB per formula unit
Symmetry   No. 71
Mass density   3.5 g/cm3

```
KRb4F5
1.0
-2.0029 2.8291 10.0361
2.0029 -2.8291 10.0361
2.0029 2.8291 -10.0361
K Rb F
1 4 5
Direct
0.0000 0.0000 0.0000
0.1980 0.1980 0.0000
0.4016 0.4016 0.0000
0.5984 0.5984 0.0000
0.8020 0.8020 0.0000
0.0943 0.5943 0.5000
0.2993 0.7993 0.5000
0.5000 0.0000 0.5000
0.7007 0.2007 0.5000
0.9057 0.4057 0.5000
```

[4]
Here is crystalline KRb2F4 at its relaxed geometry from Alexandria. Energies are from GGA-PBE.

Results
Total DFT energy (no corrections)   -3.7402 eV per atom
Formation energy without anion corrections   -2.2377 eV/atom
Distance to the lowest polymorph of the same formula   0.030 eV/atom
Magnetization   1.02 μB per formula unit
Symmetry   No. 139
Mass density   2.8 g/cm3

```
KRb2F4
1.0
4.8827 0.0000 0.0000
0.0000 4.8827 0.0000
0.0000 0.0000 14.4450
K Rb F
2 4 8
Direct
0.0000 0.0000 0.0000
0.5000 0.5000 0.5000
0.0000 0.0000 0.3665
0.0000 0.0000 0.6335
0.5000 0.5000 0.1335
0.5000 0.5000 0.8665
0.0000 0.0000 0.1803
0.0000 0.0000 0.8197
0.0000 0.5000 0.0000
0.0000 0.5000 0.5000
0.5000 0.0000 0.0000
0.5000 0.0000 0.5000
0.5000 0.5000 0.3197
0.5000 0.5000 0.6803
```

Among the records above, which one has the lowest total DFT energy (no corrections)?
KRb4F5